# 1
# InSbN2 (PBE-GGA, relaxed)
data_InSbN2
_chemical_formula_sum 'In3 Sb3 N6'
_cell_length_a 3.2063
_cell_length_b 3.2063
_cell_length_c 20.7021
_cell_angle_alpha 90.00
_cell_angle_beta 90.00
_cell_angle_gamma 120.00
_space_group_name_H-M_alt 'R -3 m'
_space_group_IT_number 166
_space_group_name_Hall '-R 3 2"'
loop_
_atom_site_label
_atom_site_type_symbol
_atom_site_fract_x
_atom_site_fract_y
_atom_site_fract_z
In1 In 0.0000 0.0000 0.0000
Sb1 Sb 0.0000 0.0000 0.5000
N1 N 0.0000 0.0000 0.1137
# calculated total energy	-5.446	eV per atom
# ρ	7.15	g/cm3
# energy relative to the lowest polymorph listed for this composition	0.0	meV/atom



# 2
# LaIn4Hg (PBE-GGA, relaxed)
data_LaIn4Hg
_chemical_formula_sum 'La4 In16 Hg4'
_cell_length_a 8.7466
_cell_length_b 8.7466
_cell_length_c 8.7466
_cell_angle_alpha 90.00
_cell_angle_beta 90.00
_cell_angle_gamma 90.00
_space_group_name_H-M_alt 'F -4 3 m'
_space_group_IT_number 216
_space_group_name_Hall 'F -4 2 3'
loop_
_atom_site_label
_atom_site_type_symbol
_atom_site_fract_x
_atom_site_fract_y
_atom_site_fract_z
La1 La 0.0000 0.0000 0.0000
In1 In 0.1248 0.1248 0.3752
Hg1 Hg 0.2500 0.2500 0.7500
# calculated total energy	-2.869	eV per atom
# formation enthalpy at 0 K	-172	meV/atom
# ρ	7.93	g/cm3



# 3
# Ga2HN (PBE-GGA, relaxed)
data_Ga2HN
_chemical_formula_sum 'Ga8 H4 N4'
_cell_length_a 4.8580
_cell_length_b 4.8580
_cell_length_c 8.6230
_cell_angle_alpha 90.00
_cell_angle_beta 90.00
_cell_angle_gamma 90.00
_space_group_name_H-M_alt 'I -4 2 d'
_space_group_IT_number 122
_space_group_name_Hall 'I -4 2bw'
loop_
_atom_site_label
_atom_site_type_symbol
_atom_site_fract_x
_atom_site_fract_y
_atom_site_fract_z
Ga1 Ga 0.2392 0.2500 0.1250
H1 H 0.0000 0.0000 0.5000
N1 N 0.0000 0.0000 0.0000
# calculated total energy	-4.183	eV per atom
# ρ	5.04	g/cm3
# energy relative to the lowest polymorph listed for this composition	0.0	meV/atom



# 4
# YGeAs2Se (PBE-GGA, relaxed)
data_YGeAs2Se
_chemical_formula_sum 'Y1 Ge1 As2 Se1'
_cell_length_a 5.4192
_cell_length_b 5.4192
_cell_length_c 5.3579
_cell_angle_alpha 90.00
_cell_angle_beta 90.00
_cell_angle_gamma 90.00
_space_group_name_H-M_alt 'P 4/m m m'
_space_group_IT_number 123
_space_group_name_Hall '-P 4 2'
loop_
_atom_site_label
_atom_site_type_symbol
_atom_site_fract_x
_atom_site_fract_y
_atom_site_fract_z
Y1 Y 0.0000 0.0000 0.0000
Ge1 Ge 0.5000 0.5000 0.5000
As1 As 0.0000 0.5000 0.0000
Se1 Se 0.0000 0.0000 0.5000
# calculated total energy	-4.426	eV per atom
# ρ	4.12	g/cm3
# energy relative to the lowest polymorph listed for this composition	398.3	meV/atom



# 5
# HfTaFeCu (PBE-GGA, relaxed)
data_HfTaFeCu
_chemical_formula_sum 'Hf4 Ta4 Fe4 Cu4'
_cell_length_a 6.2806
_cell_length_b 6.2806
_cell_length_c 6.2806
_cell_angle_alpha 90.00
_cell_angle_beta 90.00
_cell_angle_gamma 90.00
_space_group_name_H-M_alt 'F -4 3 m'
_space_group_IT_number 216
_space_group_name_Hall 'F -4 2 3'
loop_
_atom_site_label
_atom_site_type_symbol
_atom_site_fract_x
_atom_site_fract_y
_atom_site_fract_z
Hf1 Hf 0.0000 0.0000 0.0000
Ta1 Ta 0.0000 0.0000 0.5000
Fe1 Fe 0.2500 0.2500 0.7500
Cu1 Cu 0.2500 0.2500 0.2500
# calculated total energy	-8.648	eV per atom
# formation enthalpy at 0 K	-57	meV/atom
# ρ	12.84	g/cm3



# 6
# Sr4AlAg3 (PBE-GGA, relaxed)
data_Sr4AlAg3
_chemical_formula_sum 'Sr4 Al1 Ag3'
_cell_length_a 4.5236
_cell_length_b 4.7572
_cell_length_c 12.0873
_cell_angle_alpha 90.00
_cell_angle_beta 90.00
_cell_angle_gamma 90.00
_space_group_name_H-M_alt 'P m m 2'
_space_group_IT_number 25
loop_
_space_group_symop_operation_xyz
'x,y,z'
'-x,-y,z'
'-x,y,z'
'x,-y,z'
loop_
_atom_site_label
_atom_site_type_symbol
_atom_site_fract_x
_atom_site_fract_y
_atom_site_fract_z
Sr1 Sr 0.0000 0.0000 0.0000
Sr2 Sr 0.0000 0.5000 0.2814
Sr3 Sr 0.5000 0.0000 0.4974
Sr4 Sr 0.5000 0.5000 0.7851
Al1 Al 0.0000 0.0000 0.7015
Ag1 Ag 0.0000 0.5000 0.5846
Ag2 Ag 0.5000 0.0000 0.2117
Ag3 Ag 0.5000 0.5000 0.0724
# calculated total energy	-2.638	eV per atom
# formation enthalpy at 0 K	-260	meV/atom
# ρ	4.48	g/cm3



# 7
# ZnAg2Sb (PBE-GGA, relaxed)
data_ZnAg2Sb
_chemical_formula_sum 'Zn1 Ag2 Sb1'
_cell_length_a 3.0651
_cell_length_b 3.0651
_cell_length_c 8.5040
_cell_angle_alpha 90.00
_cell_angle_beta 90.00
_cell_angle_gamma 90.00
_space_group_name_H-M_alt 'P 4 m m'
_space_group_IT_number 99
loop_
_space_group_symop_operation_xyz
'x,y,z'
'-y,x,z'
'-x,-y,z'
'y,-x,z'
'-x,y,z'
'y,x,z'
'x,-y,z'
'-y,-x,z'
loop_
_atom_site_label
_atom_site_type_symbol
_atom_site_fract_x
_atom_site_fract_y
_atom_site_fract_z
Zn1 Zn 0.0000 0.0000 0.0000
Ag1 Ag 0.0000 0.0000 0.4384
Ag2 Ag 0.5000 0.5000 0.2021
Sb1 Sb 0.5000 0.5000 0.7166
# calculated total energy	-2.659	eV per atom
# ρ	8.37	g/cm3
# energy relative to the lowest polymorph listed for this composition	44.3	meV/atom



# 8
# NpVAs (PBE-GGA, relaxed)
data_NpVAs
_chemical_formula_sum 'Np4 V4 As4'
_cell_length_a 3.0747
_cell_length_b 18.8409
_cell_length_c 3.4319
_cell_angle_alpha 90.00
_cell_angle_beta 90.00
_cell_angle_gamma 90.00
_space_group_name_H-M_alt 'C m c m'
_space_group_IT_number 63
_space_group_name_Hall '-C 2c 2'
loop_
_atom_site_label
_atom_site_type_symbol
_atom_site_fract_x
_atom_site_fract_y
_atom_site_fract_z
Np1 Np 0.0000 0.0440 0.2500
V1 V 0.0000 0.2136 0.2500
As1 As 0.0000 0.3510 0.2500
# calculated total energy	-9.164	eV per atom
# formation enthalpy at 0 K	-261	meV/atom
# ρ	12.12	g/cm3



# 9
# Ac2Nd5Y (PBE-GGA, relaxed)
data_Ac2Nd5Y
_chemical_formula_sum 'Ac4 Nd10 Y2'
_cell_length_a 5.3228
_cell_length_b 5.3228
_cell_length_c 21.0042
_cell_angle_alpha 90.00
_cell_angle_beta 90.00
_cell_angle_gamma 90.00
_space_group_name_H-M_alt 'I 4/m m m'
_space_group_IT_number 139
_space_group_name_Hall '-I 4 2'
loop_
_atom_site_label
_atom_site_type_symbol
_atom_site_fract_x
_atom_site_fract_y
_atom_site_fract_z
Ac1 Ac 0.0000 0.0000 0.2503
Nd1 Nd 0.0000 0.0000 0.0000
Nd2 Nd 0.0000 0.5000 0.1193
Y1 Y 0.0000 0.0000 0.5000
# calculated total energy	-4.785	eV per atom
# formation enthalpy at 0 K	30	meV/atom
# ρ	7.05	g/cm3
# energy relative to the lowest polymorph listed for this composition	4.3	meV/atom



# 10
# Be2HgPb (PBE-GGA, relaxed)
data_Be2HgPb
_chemical_formula_sum 'Be2 Hg1 Pb1'
_cell_length_a 3.2522
_cell_length_b 3.2522
_cell_length_c 7.0448
_cell_angle_alpha 90.00
_cell_angle_beta 90.00
_cell_angle_gamma 90.00
_space_group_name_H-M_alt 'P 4/m m m'
_space_group_IT_number 123
_space_group_name_Hall '-P 4 2'
loop_
_atom_site_label
_atom_site_type_symbol
_atom_site_fract_x
_atom_site_fract_y
_atom_site_fract_z
Be1 Be 0.0000 0.0000 0.1786
Hg1 Hg 0.5000 0.5000 0.0000
Pb1 Pb 0.5000 0.5000 0.5000
# calculated total energy	-2.201	eV per atom
# formation enthalpy at 0 K	665	meV/atom
# ρ	9.49	g/cm3
# energy relative to the lowest polymorph listed for this composition	292.7	meV/atom



# 11
# Tb6SbTe3P2 (PBE-GGA, relaxed)
data_Tb6SbTe3P2
_chemical_formula_sum 'Tb12 Sb2 Te6 P4'
_cell_length_a 18.7682
_cell_length_b 4.2117
_cell_length_c 8.6417
_cell_angle_alpha 90.00
_cell_angle_beta 104.70
_cell_angle_gamma 90.00
_space_group_name_H-M_alt 'C 1 2/m 1'
_space_group_IT_number 12
loop_
_space_group_symop_operation_xyz
'x,y,z'
'-x,-y,-z'
'-x,y,-z'
'x,-y,z'
'x+1/2,y+1/2,z'
'-x+1/2,-y+1/2,-z'
'-x+1/2,y+1/2,-z'
'x+1/2,-y+1/2,z'
loop_
_atom_site_label
_atom_site_type_symbol
_atom_site_fract_x
_atom_site_fract_y
_atom_site_fract_z
Tb1 Tb 0.0161 0.0000 0.2548
Tb2 Tb 0.1699 0.5000 0.1196
Tb3 Tb 0.1771 0.5000 0.5643
Sb1 Sb 0.0000 0.5000 0.0000
Te1 Te 0.0000 0.5000 0.5000
Te2 Te 0.1615 0.0000 0.8333
P1 P 0.1692 0.0000 0.3380
# calculated total energy	-5.807	eV per atom
# ρ	7.64	g/cm3